FePPt2: optimized geometry, PBE-GGA.

Lattice parameters (Å, degrees): 2.847 2.847 24.766 90.00 90.00 120.00
Sites, in units of the cell vectors:
Fe: 0.000 0.000 0.000
Fe: 0.333 0.667 0.667
Fe: 0.667 0.333 0.333
P: 0.000 0.000 0.500
P: 0.333 0.667 0.167
P: 0.667 0.333 0.833
Pt: 0.000 0.000 0.247
Pt: 0.000 0.000 0.753
Pt: 0.333 0.667 0.420
Pt: 0.333 0.667 0.913
Pt: 0.667 0.333 0.087
Pt: 0.667 0.333 0.580

Output
spin magnetization: 9.50 μB/cell
ΔE_f: -0.06 eV/f.u.

---

FeP2Pt: optimized geometry, PBE-GGA.

Lattice parameters (Å, degrees): 4.141 4.141 3.148 90.00 90.00 90.00
Sites, in units of the cell vectors:
Fe: 0.000 0.000 0.000
P: 0.000 0.500 0.500
P: 0.500 0.000 0.500
Pt: 0.500 0.500 0.000

Output
spin magnetization: 2.23 μB/cell
ΔE_f: 0.19 eV/f.u.
relative energy among the computed polymorphs: 403.8 meV/atom

---

Fe2PPt: optimized geometry, PBE-GGA.

Lattice parameters (Å, degrees): 2.790 2.790 23.368 90.00 90.00 120.00
Sites, in units of the cell vectors:
Fe: 0.000 0.000 0.000
Fe: 0.000 0.000 0.250
Fe: 0.333 0.667 0.667
Fe: 0.333 0.667 0.917
Fe: 0.667 0.333 0.333
Fe: 0.667 0.333 0.584
P: 0.000 0.000 0.515
P: 0.333 0.667 0.182
P: 0.667 0.333 0.848
Pt: 0.000 0.000 0.757
Pt: 0.333 0.667 0.424
Pt: 0.667 0.333 0.091

Output
spin magnetization: 13.68 μB/cell
ΔE_f: -0.09 eV/f.u.